Record 1
A relaxed structure of Sm2Sc4Si3O2, computed with PBE-GGA.

Geometry as extended XYZ:
```
11
Lattice="4.2791 0.0000 0.0000 0.0000 4.2791 0.0000 -2.1395 -2.1395 11.5479" Properties=species:S:1:pos:R:3 pbc="T T T"
Si 0.0000 0.0000 0.0000
Sm 0.0000 0.0000 7.0442
Si 2.1395 2.1395 7.6582
Si 0.0000 0.0000 3.8897
Sc 0.0000 2.1395 1.7881
Sc 2.1395 0.0000 1.7881
Sc 2.1395 0.0000 9.7598
O 2.1395 2.1395 2.0084
O 0.0000 0.0000 9.5395
Sc 0.0000 2.1395 9.7598
Sm 2.1395 2.1395 4.5037
```

Values from the calculation:
As for the formation energy from raw total energies: -1.580 eV/atom. As for the total energy: -7.121 eV per atom. The value obtained for the volume is 19.22 Å³ per atom. The space-group type is I4/mmm, No. 139. The value obtained for the mass density is 4.69 g/cm³.

---

Record 2
A relaxed structure of Sc4SiSnO, computed with PBE-GGA.

Geometry as extended XYZ:
```
14
Lattice="5.9615 0.0000 0.0000 0.0000 5.9753 0.0000 -2.9808 0.0000 7.5869" Properties=species:S:1:pos:R:3 pbc="T T T"
Sc 0.0000 4.4815 6.2657
Si 0.0000 1.4938 1.7562
Si 2.9808 4.4815 5.8307
Sc 0.0000 4.4815 1.0841
Sc 1.4904 0.0000 3.7935
Sc -1.4904 0.0000 3.7935
Sc -1.4904 2.9876 3.7935
Sc 2.9808 1.4938 6.5029
Sc 2.9808 1.4938 1.3213
Sn 0.0000 1.4938 5.9920
Sn 2.9808 4.4815 1.5949
O 0.0000 4.4815 3.8567
Sc 1.4904 2.9876 3.7935
O 2.9808 1.4938 3.7302
```

Values from the calculation:
As for the formation energy from raw total energies: -1.288 eV/atom. As for the total energy: -6.961 eV per atom. The value obtained for the volume is 19.30 Å³ per atom. The space-group type is Cmcm, No. 63. The value obtained for the mass density is 4.21 g/cm³.

---

Record 3
A relaxed structure of Sr2ScSiO6, computed with PBE-GGA.

Geometry as extended XYZ:
```
10
Lattice="5.2091 0.0000 0.0000 0.0000 5.6379 0.0000 0.0000 -2.8189 4.8825" Properties=species:S:1:pos:R:3 pbc="T T T"
O 1.0750 1.2602 0.7276
Sr 0.7405 0.0000 3.2550
O 1.0750 2.8189 3.4274
O 1.0750 4.3776 0.7276
Si 0.0000 0.0000 0.0000
Sc 2.6045 0.0000 0.0000
O 4.1341 -1.5587 4.1549
Sr 4.4686 2.8189 1.6275
O 4.1341 0.0000 1.4552
O 4.1341 1.5587 4.1549
```

Values from the calculation:
As for the formation energy from raw total energies: -2.693 eV/atom. As for the total energy: -7.180 eV per atom. The value obtained for the volume is 14.34 Å³ per atom. The space-group type is P-3m1, No. 164. The value obtained for the mass density is 3.99 g/cm³.

---

Record 4
A relaxed structure of Sr2ScSiO, computed with PBE-GGA.

Geometry as extended XYZ:
```
5
Lattice="5.0792 0.0000 0.0000 0.0000 4.3933 0.0000 0.0000 0.0000 5.0792" Properties=species:S:1:pos:R:3 pbc="T T T"
Sr 0.0000 0.0000 2.5396
Sr 2.5396 0.0000 0.0000
Si 2.5396 2.1967 2.5396
O 0.0000 0.0000 0.0000
Sc 0.0000 2.1967 0.0000
```

Values from the calculation:
As for the formation energy from raw total energies: -1.174 eV/atom. As for the total energy: -5.189 eV per atom. The value obtained for the volume is 22.67 Å³ per atom. The space-group type is P4/mmm, No. 123. The value obtained for the mass density is 3.87 g/cm³.

---

Record 5
A relaxed structure of ScTiSi2O8, computed with PBE-GGA.

Geometry as extended XYZ:
```
12
Lattice="5.4875 0.1236 0.0000 -2.3231 4.9730 0.0000 -1.5822 -2.5483 4.5968" Properties=species:S:1:pos:R:3 pbc="T T T"
Sc 0.0000 0.0000 0.0000
Si 1.5822 2.5483 0.0000
O 1.4418 -0.4252 1.4492
O 2.6027 1.4447 3.1477
O -0.2166 1.3579 3.6965
O 0.2166 -1.3579 3.6965
Ti -1.1615 2.4865 2.2984
O 0.2691 2.1402 0.9003
O 2.8848 -1.3211 3.1477
O 4.0457 0.5487 1.4492
O 2.8953 2.9564 0.9003
Si 2.7438 0.0618 2.2984
```

Values from the calculation:
As for the formation energy from raw total energies: -2.703 eV/atom. As for the total energy: -8.098 eV per atom. The value obtained for the volume is 10.56 Å³ per atom. The space-group type is I-4m2, No. 119. The value obtained for the mass density is 3.63 g/cm³.

---

Record 6
A relaxed structure of ScTl2Si2O6, computed with PBE-GGA.

Geometry as extended XYZ:
```
11
Lattice="5.7793 0.0000 0.0000 2.8897 5.0050 0.0000 2.8897 1.6683 5.7673" Properties=species:S:1:pos:R:3 pbc="T T T"
O 4.4033 2.5422 4.5408
O 5.7793 1.7478 1.2265
Tl 8.6690 5.0050 3.7535
O 7.1553 2.5422 4.5408
O 5.7793 4.9255 4.5408
Si 5.7793 3.3367 1.5394
Tl 2.8896 1.6683 2.0139
O 7.1553 4.1311 1.2265
O 4.4033 4.1311 1.2265
Sc 0.0000 0.0000 0.0000
Si 5.7793 3.3367 4.2280
```

Values from the calculation:
As for the formation energy from raw total energies: -2.147 eV/atom. As for the total energy: -6.843 eV per atom. The value obtained for the volume is 15.17 Å³ per atom. The space-group type is R-3m, No. 166. The value obtained for the mass density is 6.03 g/cm³.

---

Record 7
A relaxed structure of ScTlSi2O6, computed with PBE-GGA.

Geometry as extended XYZ:
```
20
Lattice="5.4023 -0.0376 -0.0390 1.7069 7.7435 -0.4907 1.7069 -0.7774 7.7200" Properties=species:S:1:pos:R:3 pbc="T T T"
O 5.3867 4.8543 5.3039
O 7.0213 2.7054 5.5303
Si 1.9535 2.6406 1.3893
O 1.7948 4.2231 1.6600
O 6.2781 7.4393 1.7239
Sc 5.7586 5.5129 1.6022
O 3.4294 2.0742 1.8863
Si 6.8626 4.2879 5.8009
O 6.1306 1.7893 2.1232
Tl 5.7586 0.0009 6.9135
O 4.4960 1.4835 4.2622
O 2.6856 5.1392 5.0670
O 4.3202 5.4450 2.9281
Tl 3.0575 6.9276 0.2767
O 2.5380 -0.5108 5.4663
Sc 3.0575 1.4156 5.5881
O 3.5770 1.4658 7.5176
Si 4.1615 5.6568 4.5194
O 5.2392 5.4627 -0.3274
Si 4.6547 1.2717 2.6708
```

Values from the calculation:
As for the formation energy from raw total energies: -2.587 eV/atom. As for the total energy: -7.516 eV per atom. The value obtained for the volume is 16.10 Å³ per atom. The space-group type is C2/c, No. 15. The value obtained for the mass density is 4.14 g/cm³.

---

Record 8
A relaxed structure of Y2ScSiO, computed with PBE-GGA.

Geometry as extended XYZ:
```
5
Lattice="4.7413 0.0000 0.0000 0.0000 4.7413 0.0000 0.0000 0.0000 4.2432" Properties=species:S:1:pos:R:3 pbc="T T T"
Sc 0.0000 0.0000 2.1216
Si 2.3706 2.3706 2.1216
Y 0.0000 2.3706 0.0000
Y 2.3706 0.0000 0.0000
O 0.0000 0.0000 0.0000
```

Values from the calculation:
As for the formation energy from raw total energies: -1.394 eV/atom. As for the total energy: -7.322 eV per atom. The value obtained for the volume is 19.08 Å³ per atom. The space-group type is P4/mmm, No. 123. The value obtained for the mass density is 4.65 g/cm³.